(1)
VASP calculation (GGA-PBEsol) on a geometry-optimized ReAsS2 structure.

POSCAR file:
```
ReAsS2
1.0
-2.5743 1.7273 0.0603
-2.7051 -1.2770 0.8163
-0.2679 2.0948 8.2785
Re As S
1 1 2
Cartesian
-2.7737 1.2726 4.5775
0.0000 0.0000 0.0000
-4.8186 1.0510 3.3433
-0.7287 1.4941 5.8118
```

The formation energy (no corrections) comes out at -0.001 eV/atom. The symmetry is R-3m (166).

(2)
VASP calculation (GGA-PBEsol) on a geometry-optimized ReAs2SeS structure.

POSCAR file:
```
ReAs2SeS
1.0
4.6508 0.0000 0.0000
0.0000 4.8001 0.0000
0.0000 0.0000 4.8001
Re As S Se
1 2 1 1
Cartesian
0.0000 0.0000 0.0000
0.0000 0.0000 2.4000
0.0000 2.4000 0.0000
2.3254 2.4000 2.4000
2.3254 0.0000 0.0000
```

The formation energy (no corrections) comes out at 0.668 eV/atom. The symmetry is P4/mmm (123).

(3)
VASP calculation (GGA-PBEsol) on a geometry-optimized Re4SbAs structure.

POSCAR file:
```
Re4SbAs
1.0
-2.7994 -4.3854 0.6522
1.2414 -4.3270 -2.6888
2.1083 -4.1120 2.4780
As Re Sb
1 4 1
Cartesian
0.0000 0.0000 0.0000
0.2061 -4.8030 0.1653
1.2643 -6.8669 1.4090
-1.1989 -7.0041 0.4926
0.8292 -6.9748 -1.1843
0.4128 -9.6183 0.3310
```

The formation energy (no corrections) comes out at 0.853 eV/atom. The symmetry is F-43m (216).

(4)
VASP calculation (GGA-PBEsol) on a geometry-optimized Re2SbAs structure.

POSCAR file:
```
Re2SbAs
1.0
-1.4896 -2.6231 0.2131
2.9397 0.3357 3.2234
-4.2288 2.5800 2.1980
Re As Sb
2 1 1
Cartesian
-2.9868 0.2362 3.4865
0.2081 0.0564 2.1480
-0.7448 -1.3116 0.1066
-2.1144 1.2900 1.0990
```

The formation energy (no corrections) comes out at 0.468 eV/atom. The relative energy among the computed polymorphs comes out at 3.4 meV/atom. The symmetry is C2/m (12).

(5)
VASP calculation (GGA-PBEsol) on a geometry-optimized Re2SbAs structure.

POSCAR file:
```
Re2SbAs
1.0
4.4644 0.0000 0.0000
2.2322 3.8663 0.0000
2.2322 1.2888 3.6451
Re As Sb
2 1 1
Cartesian
2.2322 1.2888 0.9113
6.6965 3.8663 2.7339
4.4644 2.5775 1.8226
0.0000 0.0000 0.0000
```

The formation energy (no corrections) comes out at 0.464 eV/atom. The relative energy among the computed polymorphs comes out at 0.0 meV/atom. The symmetry is Fm-3m (225).

(6)
VASP calculation (GGA-PBEsol) on a geometry-optimized ReSbAs structure.

POSCAR file:
```
ReSbAs
1.0
3.2690 0.0000 0.0000
0.0000 4.3761 0.0000
0.0000 -2.1880 3.7898
Re As Sb
1 1 1
Cartesian
0.0000 0.0000 2.5265
0.0000 0.0000 0.0000
1.6345 2.1880 1.2633
```

The formation energy (no corrections) comes out at 0.514 eV/atom. The symmetry is P-6m2 (187).

(7)
VASP calculation (GGA-PBEsol) on a geometry-optimized Re2SbAs structure.

POSCAR file:
```
Re2SbAs
1.0
-1.2262 -1.1177 2.6250
3.8742 -0.5756 1.5647
-0.0931 4.7256 1.9687
Re As Sb
2 1 1
Cartesian
0.0000 0.0000 0.0000
-0.6596 1.8039 2.2968
1.8906 2.0750 1.7667
1.3240 -0.8466 2.0948
```

The formation energy (no corrections) comes out at 0.884 eV/atom. The relative energy among the computed polymorphs comes out at 419.6 meV/atom. The symmetry is Pmmm (47).

(8)
VASP calculation (GGA-PBEsol) on a geometry-optimized Sc2ReAs structure.

POSCAR file:
```
Sc2ReAs
1.0
-0.1665 -2.6273 -1.2266
2.4090 -1.3132 -0.9524
1.9351 -5.4610 7.9964
Sc Re As
2 1 1
Cartesian
2.5588 -5.0450 0.1439
1.6188 -4.3565 5.6735
0.0000 0.0000 0.0000
2.0888 -4.7007 2.9087
```

For the formation energy from the elements, the calculation gives 0.8 eV per formula unit. The symmetry is R-3m (166).

Please write out number 7 again, unchanged.
VASP calculation (GGA-PBEsol) on a geometry-optimized Re2SbAs structure.

POSCAR file:
```
Re2SbAs
1.0
-1.2262 -1.1177 2.6250
3.8742 -0.5756 1.5647
-0.0931 4.7256 1.9687
Re As Sb
2 1 1
Cartesian
0.0000 0.0000 0.0000
-0.6596 1.8039 2.2968
1.8906 2.0750 1.7667
1.3240 -0.8466 2.0948
```

The formation energy (no corrections) comes out at 0.884 eV/atom. The relative energy among the computed polymorphs comes out at 419.6 meV/atom. The symmetry is Pmmm (47).